## PaTePb2O8 (PBE)

Data for PaTePb2O8 after structural relaxation.

Values from the calculation:
**ρ**: 7.72 Mg/m³
**Space group**: P2/m
**Calculated total energy**: -6.666 eV/atom
**Raw formation energy**: -1956 kJ/mol of formula units

Structure (extended XYZ):
```
12
Lattice="-3.471 3.403 -2.107 -2.486 0.077 4.674 3.964 5.295 2.021" Properties=species:S:1:pos:R:3 pbc="T T T"
O -2.424 4.028 -0.508
O 0.430 4.748 5.097
O -0.231 6.956 0.610
O 0.308 3.627 1.728
O -2.302 5.148 2.862
O -1.763 1.819 3.979
O -1.558 0.913 0.666
O -4.400 2.568 1.902
Pb -2.032 3.004 1.766
Pb 0.039 5.771 2.823
Te 0.000 0.000 0.000
Pa 1.982 2.648 1.011
```

## ThPaPbO6 (PBE)

Data for ThPaPbO6 after structural relaxation.

Values from the calculation:
**ρ**: 8.27 Mg/m³
**Space group**: P-31c
**Calculated total energy**: -8.351 eV/atom
**Raw formation energy**: -2392 kJ/mol of formula units

Structure (extended XYZ):
```
18
Lattice="6.121 0.000 0.000 -3.061 5.301 0.000 0.000 0.000 9.486" Properties=species:S:1:pos:R:3 pbc="T T T"
O 2.158 0.091 6.043
O 0.902 5.210 3.443
O 4.061 3.387 8.187
O -1.001 1.914 1.300
O -0.902 5.210 1.300
O 1.903 3.477 1.300
O 1.158 1.824 8.187
O 2.060 3.387 6.043
O -1.903 3.477 3.443
O 1.001 1.914 3.443
O 3.963 0.091 8.187
O 4.963 1.824 6.043
Pa 3.061 1.767 7.115
Pa 0.000 3.534 2.372
Pb 0.000 0.000 4.743
Pb 0.000 0.000 0.000
Th 0.000 3.534 7.115
Th 3.061 1.767 2.372
```

## ThPaPb2O8 (PBE)

Data for ThPaPb2O8 after structural relaxation.

Values from the calculation:
**ρ**: 8.35 Mg/m³
**Space group**: I-4m2
**Calculated total energy**: -7.593 eV/atom
**Raw formation energy**: -2616 kJ/mol of formula units

Structure (extended XYZ):
```
12
Lattice="-5.489 2.241 -2.360 -0.691 -6.260 1.028 1.425 2.980 5.459" Properties=species:S:1:pos:R:3 pbc="T T T"
O -3.028 3.536 2.130
O -4.791 0.064 2.221
O -5.170 -1.929 -0.390
O -1.402 1.447 0.890
O -2.264 -0.852 3.940
O -0.459 2.440 3.900
O -5.085 1.377 -0.375
O -1.616 -1.736 0.805
Pa 0.000 0.000 0.000
Pb -3.577 1.606 1.217
Pb -3.090 -2.009 -0.666
Th -1.178 -2.644 2.911
```